[1]
A relaxed structure of In2Ga17. Source: Alexandria via LeMat-Bulk, functional PBE.

Cell lengths 9.2766, 9.2766, 15.5517 Å; angles 90.00, 90.00, 120.00 degrees
Space group R-3m (No. 166, hexagonal axes)
One atom of each set of equivalent atoms:
In  0.0000  0.0000  0.1862 x6
Ga  0.0000  0.0000  0.3961 x6
Ga  0.0000  0.2878  0.5000 x18
Ga  0.0000  0.5000  0.0000 x9
Ga  0.0359  0.5179  0.6213 x18

Properties
spin magnetization = 0.00 μB per formula unit
V = 1159.00 Å³ per cell
total DFT energy (no corrections) = -0.1086 hartree per atom
ΔH_f (0 K) = 0.04 eV per atom

[2]
A relaxed structure of In3Ga. Source: Alexandria via LeMat-Bulk, functional PBE.

Cell lengths 4.367, 8.719, 5.350 Å; angles 90.00, 90.00, 90.00 degrees
Space group Pmmn (No. 59, origin choice 2)
One atom of each set of equivalent atoms:
In  0.250  0.018  0.246 x4
In  0.250  0.250  0.779 x2
Ga  0.250  0.750  0.648 x2

Properties
spin magnetization = 0.00 μB per formula unit
V = 203.69 Å³ per cell
total DFT energy (no corrections) = -0.1021 hartree per atom
ΔH_f (0 K) = 0.03 eV per atom

[3]
A relaxed structure of InGa. Source: Alexandria via LeMat-Bulk, functional PBE.

Cell lengths 8.782, 8.782, 4.922 Å; angles 90.00, 90.00, 90.00 degrees
Space group I4/mmm (No. 139)
One atom of each set of equivalent atoms:
In  0.000  0.304  0.000 x8
Ga  0.156  0.156  0.500 x8

Properties
spin magnetization = 0.00 μB per formula unit
V = 379.61 Å³ per cell
total DFT energy (no corrections) = -0.1035 hartree per atom
ΔH_f (0 K) = 0.07 eV per atom

[4]
A relaxed structure of InGa. Source: Alexandria via LeMat-Bulk, functional PBE.

Cell lengths 5.1076, 5.1076, 12.4734 Å; angles 90.00, 90.00, 120.00 degrees
Space group R-3m (No. 166, hexagonal axes)
One atom of each set of equivalent atoms:
In  0.0000  0.0000  0.1253 x6
Ga  0.0000  0.0000  0.3755 x6

Properties
spin magnetization = 0.00 μB per formula unit
V = 281.80 Å³ per cell
total DFT energy (no corrections) = -0.1040 hartree per atom
ΔH_f (0 K) = 0.05 eV per atom